# K2Co2S3O12 (PBE+U, optimized geometry)
data_K2Co2S3O12
_cell_length_a 9.860
_cell_length_b 9.860
_cell_length_c 9.860
_cell_angle_alpha 90.00
_cell_angle_beta 90.00
_cell_angle_gamma 90.00
_space_group_name_H-M_alt 'P 21 3'
_space_group_IT_number 198
_space_group_name_Hall 'P 2ac 2ab 3'
loop_
_atom_site_label
_atom_site_fract_x
_atom_site_fract_y
_atom_site_fract_z
K1 0.049 0.049 0.049
K2 0.185 0.315 0.685
Co1 0.091 0.909 0.409
Co2 0.166 0.666 0.834
S1 0.018 0.220 0.376
O1 0.002 0.561 0.754
O2 0.004 0.579 0.173
O3 0.034 0.816 0.227
O4 0.093 0.837 0.742
# * spin magnetization: 0.32 μB/atom
# * energy: -5.9505 eV/atom
# * calculated volume: 958.5 Å³ per cell

---

# KScCoO3 (PBE+U, optimized geometry)
data_KScCoO3
_cell_length_a 3.293
_cell_length_b 11.980
_cell_length_c 8.561
_cell_angle_alpha 90.00
_cell_angle_beta 90.00
_cell_angle_gamma 90.00
_space_group_name_H-M_alt 'C m c m'
_space_group_IT_number 63
_space_group_name_Hall '-C 2c 2'
loop_
_atom_site_label
_atom_site_fract_x
_atom_site_fract_y
_atom_site_fract_z
K1 0.000 0.214 0.250
Sc1 0.000 0.500 0.000
Co1 0.000 0.063 0.750
O1 0.000 0.112 0.540
O2 0.000 0.467 0.750
# * spin magnetization: 0.50 μB/atom
# * energy: -6.6475 eV/atom
# * calculated volume: 337.7 Å³ per cell

---

# KCoSe2O8 (PBE+U, optimized geometry)
data_KCoSe2O8
_cell_length_a 4.837
_cell_length_b 4.891
_cell_length_c 7.683
_cell_angle_alpha 83.81
_cell_angle_beta 84.27
_cell_angle_gamma 68.20
_space_group_name_H-M_alt 'P -1'
_space_group_IT_number 2
_space_group_name_Hall '-P 1'
loop_
_atom_site_label
_atom_site_fract_x
_atom_site_fract_y
_atom_site_fract_z
K1 0.000 0.000 0.000
Co1 0.000 0.000 0.500
Se1 0.383 0.382 0.294
O1 0.240 0.243 0.476
O2 0.242 0.756 0.695
O3 0.265 0.750 0.311
O4 0.310 0.320 0.102
# * spin magnetization: 0.33 μB/atom
# * energy: -5.2810 eV/atom
# * calculated volume: 167.4 Å³ per cell

---

# KCoSeO (PBE+U, optimized geometry)
data_KCoSeO
_cell_length_a 5.428
_cell_length_b 5.712
_cell_length_c 12.682
_cell_angle_alpha 90.00
_cell_angle_beta 96.19
_cell_angle_gamma 90.00
_space_group_name_H-M_alt 'P 1 21 1'
_space_group_IT_number 4
_space_group_name_Hall 'P 2yb'
loop_
_atom_site_label
_atom_site_fract_x
_atom_site_fract_y
_atom_site_fract_z
K1 0.146 0.000 0.230
K2 0.229 0.901 0.534
Co1 0.004 0.778 0.992
Co2 0.472 0.260 0.959
Se1 0.325 0.408 0.622
Se2 0.351 0.127 0.768
O1 0.246 0.524 0.999
O2 0.256 0.025 0.033
# * spin magnetization: 0.75 μB/atom
# * distance to the lowest polymorph of the same formula: 0 meV/atom
# * calculated volume: 390.9 Å³ per cell

---

# KCoSeO (PBE+U, optimized geometry)
data_KCoSeO
_cell_length_a 3.691
_cell_length_b 7.879
_cell_length_c 6.286
_cell_angle_alpha 90.00
_cell_angle_beta 90.00
_cell_angle_gamma 90.00
_space_group_name_H-M_alt 'P m c 21'
_space_group_IT_number 26
_space_group_name_Hall 'P 2c -2'
loop_
_atom_site_label
_atom_site_fract_x
_atom_site_fract_y
_atom_site_fract_z
K1 0.000 0.206 0.000
Co1 0.500 0.405 0.423
Se1 0.000 0.213 0.501
O1 0.500 0.430 0.129
# * spin magnetization: 0.88 μB/atom
# * distance to the lowest polymorph of the same formula: 13 meV/atom
# * calculated volume: 182.8 Å³ per cell

---

# KSmCoO3 (PBE+U, optimized geometry)
data_KSmCoO3
_cell_length_a 3.572
_cell_length_b 11.675
_cell_length_c 9.380
_cell_angle_alpha 90.00
_cell_angle_beta 90.00
_cell_angle_gamma 90.00
_space_group_name_H-M_alt 'C m c m'
_space_group_IT_number 63
_space_group_name_Hall '-C 2c 2'
loop_
_atom_site_label
_atom_site_fract_x
_atom_site_fract_y
_atom_site_fract_z
K1 0.000 0.233 0.250
Sm1 0.000 0.500 0.000
Co1 0.000 0.041 0.750
O1 0.000 0.117 0.569
O2 0.000 0.452 0.750
# * spin magnetization: 0.50 μB/atom
# * energy: -6.3229 eV/atom
# * calculated volume: 391.1 Å³ per cell

---

Please write out number 2 again, unchanged.
# KScCoO3 (PBE+U, optimized geometry)
data_KScCoO3
_cell_length_a 3.293
_cell_length_b 11.980
_cell_length_c 8.561
_cell_angle_alpha 90.00
_cell_angle_beta 90.00
_cell_angle_gamma 90.00
_space_group_name_H-M_alt 'C m c m'
_space_group_IT_number 63
_space_group_name_Hall '-C 2c 2'
loop_
_atom_site_label
_atom_site_fract_x
_atom_site_fract_y
_atom_site_fract_z
K1 0.000 0.214 0.250
Sc1 0.000 0.500 0.000
Co1 0.000 0.063 0.750
O1 0.000 0.112 0.540
O2 0.000 0.467 0.750
# * spin magnetization: 0.50 μB/atom
# * energy: -6.6475 eV/atom
# * calculated volume: 337.7 Å³ per cell